(1)
Here is an optimized crystal structure of Dy2ErPuBi4 from Alexandria. Energies are from PBE-GGA.

E_form   -0.7069 eV per atom

Cell lengths 7.7695, 4.4846, 7.7726 Å; angles 90.00, 109.35, 90.00 degrees
Space group P2/m (No. 10)
One atom of each set of equivalent atoms:
Dy 0.0000 0.0000 0.0000 (multiplicity 1)
Dy 0.5000 0.5000 0.0000 (multiplicity 1)
Er 0.0000 0.5000 0.5000 (multiplicity 1)
Pu 0.5000 0.0000 0.5000 (multiplicity 1)
Bi 0.2472 0.5000 0.2486 (multiplicity 2)
Bi 0.2475 0.0000 0.7496 (multiplicity 2)

---

(2)
Here is an optimized crystal structure of DyErBiS2 from Alexandria. Energies are from PBE-GGA.

Energy relative to the elements, uncorrected   -6.39 eV/f.u.

Cell lengths 4.4959, 4.4959, 13.6454 Å; angles 90.00, 90.00, 90.00 degrees
Space group I4mm (No. 107)
One atom of each set of equivalent atoms:
Dy 0.0000 0.0000 0.0000 (multiplicity 2)
Er 0.0000 0.0000 0.7063 (multiplicity 2)
Bi 0.0000 0.0000 0.3536 (multiplicity 2)
S 0.0000 0.5000 0.1049 (multiplicity 4)

---

(3)
Here is an optimized crystal structure of Dy3Er2ScBi6 from Alexandria. Energies are from PBE-GGA.

E_form   -0.8056 eV per atom

Cell lengths 19.3164, 4.4338, 8.8685 Å; angles 90.00, 103.19, 90.00 degrees
Space group C2/m (No. 12)
One atom of each set of equivalent atoms:
Dy 0.0000 0.0000 0.0000 (multiplicity 2)
Dy 0.1682 0.5000 0.3343 (multiplicity 4)
Er 0.1659 0.5000 0.8326 (multiplicity 4)
Sc 0.0000 0.0000 0.5000 (multiplicity 2)
Bi 0.0004 0.5000 0.2599 (multiplicity 4)
Bi 0.1626 0.0000 0.5826 (multiplicity 4)
Bi 0.1672 0.0000 0.0822 (multiplicity 4)

---

(4)
Here is an optimized crystal structure of DyEr2Sc3Bi6 from Alexandria. Energies are from PBE-GGA.

E_form   -0.7411 eV per atom

Cell lengths 7.5587, 13.0968, 7.5503 Å; angles 90.00, 109.48, 90.00 degrees
Space group C2/m (No. 12)
One atom of each set of equivalent atoms:
Dy 0.0000 0.0000 0.0000 (multiplicity 2)
Er 0.0000 0.3331 0.0000 (multiplicity 4)
Sc 0.0000 0.1661 0.5000 (multiplicity 4)
Sc 0.0000 0.5000 0.5000 (multiplicity 2)
Bi 0.2449 0.3327 0.7366 (multiplicity 8)
Bi 0.2470 0.0000 0.7371 (multiplicity 4)

---

(5)
Here is an optimized crystal structure of Dy2ErScBi5 from Alexandria. Energies are from PBE-GGA.

E_form   0.0573 eV per atom

Cell lengths 5.4356, 5.4356, 11.4564 Å; angles 90.00, 90.00, 90.00 degrees
Space group P4/mmm (No. 123)
One atom of each set of equivalent atoms:
Dy 0.0000 0.0000 0.2230 (multiplicity 2)
Er 0.5000 0.5000 0.0000 (multiplicity 1)
Sc 0.5000 0.5000 0.5000 (multiplicity 1)
Bi 0.0000 0.0000 0.5000 (multiplicity 1)
Bi 0.0000 0.5000 0.0000 (multiplicity 2)
Bi 0.5000 0.5000 0.2601 (multiplicity 2)

---

(6)
Here is an optimized crystal structure of DyErSc2Bi4 from Alexandria. Energies are from PBE-GGA.

E_form   -0.7440 eV per atom

Cell lengths 7.5590, 4.3670, 7.5625 Å; angles 90.00, 109.47, 90.00 degrees
Space group P2/m (No. 10)
One atom of each set of equivalent atoms:
Dy 0.0000 0.0000 0.0000 (multiplicity 1)
Er 0.0000 0.5000 0.5000 (multiplicity 1)
Sc 0.5000 0.0000 0.5000 (multiplicity 1)
Sc 0.5000 0.5000 0.0000 (multiplicity 1)
Bi 0.2632 0.0000 0.7534 (multiplicity 2)
Bi 0.2638 0.5000 0.2556 (multiplicity 2)